KBa4Cd: relaxed, PBE-GGA.

a b c (Å): 8.042 8.042 8.042
angles (deg): 60.00 60.00 60.00
Atoms (fractional coordinates):
K 0.000 0.000 0.000
Ba 0.127 0.624 0.624
Ba 0.624 0.127 0.624
Ba 0.624 0.624 0.127
Ba 0.624 0.624 0.624
Cd 0.250 0.250 0.250

Computed properties:
* ΔH_f (0 K): 302.9 meV/atom
* E: -1.314 eV per atom



K2BaCd2: relaxed, PBE-GGA.

a b c (Å): 8.974 8.974 5.682
angles (deg): 90.00 90.00 90.00
Atoms (fractional coordinates):
K 0.168 0.332 0.000
K 0.332 0.832 0.000
K 0.668 0.168 0.000
K 0.832 0.668 0.000
Ba 0.000 0.000 0.500
Ba 0.500 0.500 0.500
Cd 0.116 0.616 0.500
Cd 0.384 0.116 0.500
Cd 0.616 0.884 0.500
Cd 0.884 0.384 0.500

Computed properties:
* ΔH_f (0 K): -60.4 meV/atom
* E: -1.250 eV per atom
* energy above the lowest structure with this stoichiometry: 0 kJ/mol of formula units



K2BaCd2: relaxed, PBE-GGA.

a b c (Å): 9.031 9.031 9.031
angles (deg): 146.81 146.81 47.64
Atoms (fractional coordinates):
K 0.250 0.750 0.500
K 0.750 0.250 0.500
Ba 0.000 0.000 0.000
Cd 0.412 0.412 0.000
Cd 0.588 0.588 0.000

Computed properties:
* ΔH_f (0 K): -45.2 meV/atom
* E: -1.235 eV per atom
* energy above the lowest structure with this stoichiometry: 7 kJ/mol of formula units



K2BaCd10: relaxed, PBE-GGA.

a b c (Å): 6.852 21.524 6.251
angles (deg): 90.00 90.00 90.00
Atoms (fractional coordinates):
K 0.178 0.180 0.000
K 0.322 0.680 0.000
K 0.678 0.320 0.000
K 0.822 0.820 0.000
Ba 0.000 0.500 0.500
Ba 0.500 0.000 0.500
Cd 0.016 0.931 0.500
Cd 0.028 0.772 0.500
Cd 0.179 0.647 0.500
Cd 0.188 0.355 0.236
Cd 0.188 0.355 0.764
Cd 0.312 0.855 0.236
Cd 0.312 0.855 0.764
Cd 0.321 0.147 0.500
Cd 0.472 0.272 0.500
Cd 0.484 0.431 0.500
Cd 0.516 0.569 0.500
Cd 0.528 0.728 0.500
Cd 0.679 0.853 0.500
Cd 0.688 0.145 0.236
Cd 0.688 0.145 0.764
Cd 0.812 0.645 0.236
Cd 0.812 0.645 0.764
Cd 0.821 0.353 0.500
Cd 0.972 0.228 0.500
Cd 0.984 0.069 0.500

Computed properties:
* ΔH_f (0 K): -27.1 meV/atom
* E: -1.048 eV per atom



KBa2Cd: relaxed, PBE-GGA.

a b c (Å): 12.933 12.933 12.933
angles (deg): 20.37 20.37 20.37
Atoms (fractional coordinates):
K 0.000 0.000 0.000
Ba 0.562 0.562 0.562
Ba 0.770 0.770 0.770
Cd 0.166 0.166 0.166

Computed properties:
* ΔH_f (0 K): -37.7 meV/atom
* E: -1.502 eV per atom



KBa2Cd: relaxed, PBE-GGA.

a b c (Å): 4.302 4.309 11.336
angles (deg): 90.00 90.05 90.00
Atoms (fractional coordinates):
K 0.000 0.000 0.000
Ba 0.500 0.500 0.322
Ba 0.500 0.500 0.678
Cd 0.000 0.000 0.500

Computed properties:
* ΔH_f (0 K): -152.8 meV/atom
* E: -1.617 eV per atom



KBa2Cd: relaxed, PBE-GGA.

a b c (Å): 4.879 4.790 10.097
angles (deg): 90.00 103.96 90.00
Atoms (fractional coordinates):
K 0.000 0.000 0.000
Ba 0.339 0.500 0.675
Ba 0.696 0.000 0.389
Cd 0.149 0.500 0.294

Computed properties:
* ΔH_f (0 K): -32.4 meV/atom
* E: -1.497 eV per atom



KBaCd2: relaxed, PBE-GGA.

a b c (Å): 5.994 5.994 5.994
angles (deg): 60.00 60.00 60.00
Atoms (fractional coordinates):
K 0.000 0.000 0.000
Ba 0.500 0.500 0.500
Cd 0.250 0.250 0.250
Cd 0.750 0.750 0.750

Computed properties:
* ΔH_f (0 K): -133.2 meV/atom
* E: -1.346 eV per atom
* energy above the lowest structure with this stoichiometry: 10 kJ/mol of formula units



KBaCd4: relaxed, PBE-GGA.

a b c (Å): 4.404 5.182 8.961
angles (deg): 90.00 90.00 90.00
Atoms (fractional coordinates):
K 0.000 0.000 0.000
Ba 0.000 0.500 0.500
Cd 0.500 0.000 0.332
Cd 0.500 0.000 0.668
Cd 0.500 0.500 0.165
Cd 0.500 0.500 0.835

Computed properties:
* ΔH_f (0 K): -188.6 meV/atom
* E: -1.302 eV per atom
* energy above the lowest structure with this stoichiometry: 0 kJ/mol of formula units



KBaCd17: relaxed, PBE-GGA.

a b c (Å): 7.875 7.875 7.875
angles (deg): 82.70 82.70 82.70
Atoms (fractional coordinates):
K 0.000 0.000 0.000
Ba 0.323 0.323 0.323
Cd 0.013 0.013 0.505
Cd 0.013 0.505 0.013
Cd 0.163 0.659 0.659
Cd 0.307 0.307 0.819
Cd 0.307 0.819 0.307
Cd 0.364 0.662 0.955
Cd 0.364 0.955 0.662
Cd 0.505 0.013 0.013
Cd 0.562 0.562 0.562
Cd 0.659 0.163 0.659
Cd 0.659 0.659 0.163
Cd 0.662 0.364 0.955
Cd 0.662 0.955 0.364
Cd 0.762 0.762 0.762
Cd 0.819 0.307 0.307
Cd 0.955 0.364 0.662
Cd 0.955 0.662 0.364

Computed properties:
* ΔH_f (0 K): -124.6 meV/atom
* E: -1.102 eV per atom



KBa2Cd9: relaxed, PBE-GGA.

a b c (Å): 10.646 10.646 10.646
angles (deg): 34.96 34.96 34.96
Atoms (fractional coordinates):
K 0.000 0.000 0.000
Ba 0.143 0.143 0.143
Ba 0.857 0.857 0.857
Cd 0.076 0.585 0.585
Cd 0.335 0.335 0.335
Cd 0.415 0.415 0.924
Cd 0.415 0.924 0.415
Cd 0.500 0.500 0.500
Cd 0.585 0.076 0.585
Cd 0.585 0.585 0.076
Cd 0.665 0.665 0.665
Cd 0.924 0.415 0.415

Computed properties:
* ΔH_f (0 K): -193.3 meV/atom
* E: -1.292 eV per atom



KBa2Cd: relaxed, PBE-GGA.

a b c (Å): 8.385 8.385 8.385
angles (deg): 149.96 135.26 54.83
Atoms (fractional coordinates):
K 0.000 0.000 0.000
Ba 0.309 0.809 0.500
Ba 0.618 0.618 0.000
Cd 0.802 0.302 0.500

Computed properties:
* ΔH_f (0 K): -39.4 meV/atom
* E: -1.504 eV per atom



K2BaCd6: relaxed, PBE-GGA.

a b c (Å): 8.942 8.942 4.445
angles (deg): 90.05 90.05 60.03
Atoms (fractional coordinates):
K 0.167 0.167 0.000
K 0.833 0.833 0.000
Ba 0.500 0.500 0.000
Cd 0.165 0.500 0.500
Cd 0.165 0.835 0.500
Cd 0.500 0.165 0.500
Cd 0.500 0.835 0.500
Cd 0.835 0.165 0.500
Cd 0.835 0.500 0.500

Computed properties:
* ΔH_f (0 K): -141.4 meV/atom
* E: -1.209 eV per atom



KBaLiCd: relaxed, PBE-GGA.

a b c (Å): 6.097 6.097 6.097
angles (deg): 60.00 60.00 60.00
Atoms (fractional coordinates):
K 0.000 0.000 0.000
Ba 0.500 0.500 0.500
Li 0.750 0.750 0.750
Cd 0.250 0.250 0.250

Computed properties:
* ΔH_f (0 K): 1.2 meV/atom
* E: -1.461 eV per atom



KBa2MgCd: relaxed, PBE-GGA.

a b c (Å): 6.811 6.811 5.565
angles (deg): 90.00 90.00 90.00
Atoms (fractional coordinates):
K 0.000 0.000 0.000
Ba 0.000 0.500 0.500
Ba 0.500 0.000 0.500
Mg 0.500 0.500 0.000
Cd 0.500 0.500 0.500

Computed properties:
* ΔH_f (0 K): 42.9 meV/atom
* E: -1.448 eV per atom



KBaMgCd: relaxed, PBE-GGA.

a b c (Å): 6.071 6.071 6.071
angles (deg): 60.00 60.00 60.00
Atoms (fractional coordinates):
K 0.000 0.000 0.000
Ba 0.500 0.500 0.500
Mg 0.750 0.750 0.750
Cd 0.250 0.250 0.250

Computed properties:
* ΔH_f (0 K): 4.4 meV/atom
* E: -1.378 eV per atom



K2BaNaCd: relaxed, PBE-GGA.

a b c (Å): 6.712 6.712 6.796
angles (deg): 90.00 90.00 90.00
Atoms (fractional coordinates):
K 0.000 0.500 0.000
K 0.500 0.000 0.000
Ba 0.000 0.000 0.500
Na 0.500 0.500 0.500
Cd 0.000 0.000 0.000

Computed properties:
* ΔH_f (0 K): 87.9 meV/atom
* E: -1.182 eV per atom



KBa2CdNi: relaxed, PBE-GGA.

a b c (Å): 6.122 6.122 5.350
angles (deg): 90.00 90.00 90.00
Atoms (fractional coordinates):
K 0.000 0.000 0.000
Ba 0.000 0.500 0.500
Ba 0.500 0.000 0.500
Cd 0.500 0.500 0.000
Ni 0.500 0.500 0.500

Computed properties:
* ΔH_f (0 K): 12.3 meV/atom
* E: -2.316 eV per atom



KBaCd2Ni: relaxed, PBE-GGA.

a b c (Å): 5.338 5.338 5.577
angles (deg): 90.00 90.00 90.00
Atoms (fractional coordinates):
K 0.000 0.000 0.000
Ba 0.500 0.500 0.000
Cd 0.000 0.500 0.500
Cd 0.500 0.000 0.500
Ni 0.500 0.500 0.500

Computed properties:
* ΔH_f (0 K): -17.2 meV/atom
* E: -2.144 eV per atom



KBa2Cd2O4: relaxed, PBE-GGA.

a b c (Å): 7.673 7.673 6.905
angles (deg): 110.34 110.34 27.38
Atoms (fractional coordinates):
K 0.000 0.000 0.000
Ba 0.124 0.124 0.542
Ba 0.876 0.876 0.458
Cd 0.322 0.322 0.974
Cd 0.678 0.678 0.026
O 0.204 0.204 0.250
O 0.452 0.452 0.262
O 0.548 0.548 0.738
O 0.796 0.796 0.750

Computed properties:
* E: -4.436 eV per atom
* energy relative to the elements, uncorrected: -1.479 eV per atom



Spin magnetization
In order: 0.00, 0.00, 0.00, 0.00, 0.00, 0.00, 0.00, 0.00, 0.00, 0.00, 0.00, 0.00, 0.00, 0.00, 0.00, 0.00, 0.00, 0.00, 0.00, 0.00
Unit: μB per formula unit
Calculated density
In order: 3.2, 3.2, 3.3, 4.8, 3.1, 3.4, 3.1, 4.4, 5.1, 7.3, 6.2, 3.4, 4.8, 3.1, 2.9, 3.3, 1.9, 4.0, 4.8, 5.7
Unit: g/cm³